Entry 1:
Below is a relaxed BaMgB2 crystal, with properties calculated at the PBE level.

a = 8.621 Å, b = 8.621 Å, c = 8.621 Å
α = 149.10°, β = 149.10°, γ = 44.27°
Element x y z (fractional)
Ba 0.375 0.625 0.750
Ba 0.625 0.375 0.250
Mg 0.125 0.875 0.250
Mg 0.875 0.125 0.750
B 0.000 0.000 0.000
B 0.000 0.000 0.500
B 0.000 0.500 0.000
B 0.500 0.000 0.500

The space group is I4_1/amd, No. 141. As for the energy relative to the elements: 3.54 eV/f.u. As for the density of states at the Fermi level: 0.4287 states/eV/atom. As for the total moment: 0.0 μB per formula unit. As for the electronic total energy: -0.2450 Ry per atom. Its mass density is 3.612 g/cm3.

Entry 2:
Below is a relaxed Ce2PmSbN2 crystal, with properties calculated at the PBE level.

a = 4.552 Å, b = 4.552 Å, c = 6.612 Å
α = 90.00°, β = 90.00°, γ = 90.00°
Element x y z (fractional)
Ce 0.000 0.000 0.228
Ce 0.000 0.000 0.772
Pm 0.500 0.500 0.000
Sb 0.500 0.500 0.500
N 0.000 0.500 0.000
N 0.500 0.000 0.000

The space group is P4/mmm, No. 123. As for the density of states at the Fermi level: 1.6367 states/eV/atom. As for the total moment: 1.9 μB per formula unit. As for the electronic total energy: -0.5259 Ry per atom. Its mass density is 6.969 g/cm3.

Entry 3:
Below is a relaxed PbW2Au crystal, with properties calculated at the PBE level.

a = 5.580 Å, b = 5.580 Å, c = 5.580 Å
α = 145.03°, β = 128.53°, γ = 63.74°
Element x y z (fractional)
Pb 0.000 0.000 0.000
W 0.273 0.773 0.500
W 0.473 0.473 0.000
Au 0.732 0.232 0.500

The space group is Imm2, No. 44. As for the energy relative to the elements: 3.07 eV/f.u. As for the density of states at the Fermi level: 0.7605 states/eV/atom. As for the total moment: 0.0 μB per formula unit. As for the electronic total energy: -0.5480 Ry per atom. Its mass density is 16.646 g/cm3.

mass density of number 3 (PbW2Au)? 16.646 g/cm3